First-principles (GGA+U) data for an optimized crystal structure of Na3CaMgCr3Si8O24, as listed in Alexandria via LeMat-Bulk.

Calculated values
raw total energy: -296.15 eV/cell
M_tot: 3.0 Bohr magnetons per cell

Lattice parameters (Å, degrees): 8.897 5.344 9.644 75.37 90.00 90.00
Each line ends with the local moment (μB).
Fractional coordinates of all 40 atoms:
1 Na 0.796 0.500 0.500  0.00
2 Na 0.302 0.000 0.000  0.00
3 Na 0.698 0.500 0.000  0.00
4 Ca 0.201 0.000 0.500  0.00
5 Mg 0.411 0.500 0.500  0.00
6 Cr 0.904 0.000 0.000  -2.95
7 Cr 0.594 0.000 0.500  2.95
8 Cr 0.095 0.500 0.000  -2.95
9 Si 0.090 0.691 0.289  0.00
10 Si 0.593 0.191 0.791  0.00
11 Si 0.090 0.309 0.711  0.00
12 Si 0.593 0.809 0.209  0.00
13 Si 0.906 0.807 0.710  0.00
14 Si 0.411 0.305 0.207  0.00
15 Si 0.906 0.193 0.290  0.00
16 Si 0.411 0.695 0.793  0.00
17 O 0.250 0.702 0.362  0.00
18 O 0.757 0.194 0.861  0.00
19 O 0.250 0.298 0.638  0.00
20 O 0.757 0.806 0.139  0.00
21 O 0.743 0.801 0.640  0.00
22 O 0.245 0.307 0.139  0.00
23 O 0.743 0.199 0.360  0.00
24 O 0.245 0.693 0.861  0.00
25 O 0.078 0.773 0.113  0.02
26 O 0.585 0.266 0.616  -0.01
27 O 0.078 0.227 0.887  0.02
28 O 0.585 0.734 0.384  -0.01
29 O 0.920 0.725 0.887  0.03
30 O 0.418 0.215 0.384  -0.01
31 O 0.920 0.275 0.113  0.03
32 O 0.418 0.785 0.616  -0.01
33 O 0.013 0.400 0.351  0.00
34 O 0.511 0.906 0.855  0.00
35 O 0.013 0.600 0.649  0.00
36 O 0.511 0.094 0.145  0.00
37 O 0.988 0.093 0.649  0.00
38 O 0.493 0.591 0.152  0.00
39 O 0.988 0.907 0.351  0.00
40 O 0.493 0.409 0.848  0.00